Entry from Alexandria via LeMat-Bulk: a relaxed structure of ErGaFeO4 (GGA+U).

## Properties
- space group = Imma (74)
- calculated total energy (eV per cell) = -98.40

a = 6.2505 Å, b = 6.2505 Å, c = 6.2505 Å
α = 121.09°, β = 117.95°, γ = 90.86°
Positions (direct):
Er 0.0000 0.0000 0.0000
Er 0.5000 0.0000 0.5000
Ga 0.3753 0.6253 0.7500
Ga 0.6247 0.3747 0.2500
Fe 0.0000 0.0000 0.5000
Fe 0.0000 0.5000 0.0000
O 0.2445 0.7443 0.5002
O 0.2472 0.2480 0.5007
O 0.2472 0.7465 0.9993
O 0.2559 0.2557 0.0002
O 0.7441 0.7443 0.9998
O 0.7528 0.2535 0.0007
O 0.7528 0.7520 0.4993
O 0.7555 0.2557 0.4998